# PBE Pm12YSc2, optimized geometry
data_Pm12YSc2
_chemical_formula_sum 'Pm48 Y4 Sc8'
_space_group_name_H-M_alt 'C 1 2/m 1'
_space_group_IT_number 12
_space_group_name_Hall '-C 2y'
_cell_length_a 7.041
_cell_length_b 10.325
_cell_length_c 27.290
_cell_angle_alpha 90.00
_cell_angle_beta 94.03
_cell_angle_gamma 90.00
loop_
_atom_site_label
_atom_site_type_symbol
_atom_site_fract_x
_atom_site_fract_y
_atom_site_fract_z
Pm1 Pm 0.017 0.249 0.066
Pm2 Pm 0.055 0.246 0.203
Pm3 Pm 0.056 0.000 0.365
Pm4 Pm 0.118 0.310 0.331
Pm5 Pm 0.128 0.310 0.559
Pm6 Pm 0.210 0.000 0.535
Pm7 Pm 0.212 0.000 0.868
Pm8 Pm 0.213 0.500 0.865
Y1 Y 0.249 0.500 0.999
Sc1 Sc 0.176 0.000 0.745
Sc2 Sc 0.182 0.500 0.739
# * formation energy from the elements: 80.2 meV/atom
# * V: 1979.0 Å³ per cell
# * M_tot: 0.00 Bohr magnetons per cell

***

# PBE LiCaSeBrF, optimized geometry
data_LiCaSeBrF
_chemical_formula_sum 'Li1 Ca1 Se1 Br1 F1'
_space_group_name_H-M_alt 'P 1'
_space_group_IT_number 1
_space_group_name_Hall 'P 1'
_cell_length_a 3.307
_cell_length_b 6.016
_cell_length_c 6.547
_cell_angle_alpha 64.94
_cell_angle_beta 89.99
_cell_angle_gamma 74.41
loop_
_atom_site_label
_atom_site_type_symbol
_atom_site_fract_x
_atom_site_fract_y
_atom_site_fract_z
Li1 Li 0.000 0.000 0.000
Ca1 Ca 0.635 0.723 0.564
Se1 Se 0.390 0.224 0.634
Br1 Br 0.211 0.564 0.981
F1 F 0.053 0.891 0.316
# * V: 112.7 Å³ per cell
# * polymorph energy (0 for the lowest one): 49 meV per atom
# * formation energy without anion corrections: -9.5 eV/f.u.
# * M_tot: 0.00 Bohr magnetons per cell

***

# PBE Pm5Nd2Th4, optimized geometry
data_Pm5Nd2Th4
_chemical_formula_sum 'Pm10 Nd4 Th8'
_space_group_name_H-M_alt 'C 1 2/m 1'
_space_group_IT_number 12
_space_group_name_Hall '-C 2y'
_cell_length_a 23.590
_cell_length_b 3.518
_cell_length_c 8.979
_cell_angle_alpha 90.00
_cell_angle_beta 92.79
_cell_angle_gamma 90.00
loop_
_atom_site_label
_atom_site_type_symbol
_atom_site_fract_x
_atom_site_fract_y
_atom_site_fract_z
Pm1 Pm 0.000 0.000 0.000
Pm2 Pm 0.095 0.500 0.705
Pm3 Pm 0.136 0.500 0.081
Nd1 Nd 0.225 0.000 0.817
Th1 Th 0.051 0.500 0.352
Th2 Th 0.183 0.000 0.438
# * formation energy from the elements: 125.7 meV/atom
# * V: 744.4 Å³ per cell
# * M_tot: 0.00 Bohr magnetons per cell

***

# PBE Rb2NaSnBr6, optimized geometry
data_Rb2NaSnBr6
_chemical_formula_sum 'Rb12 Na6 Sn6 Br36'
_space_group_name_H-M_alt 'R -3 m'
_space_group_IT_number 166
_space_group_name_Hall '-R 3 2"'
_cell_length_a 8.0514
_cell_length_b 8.0514
_cell_length_c 42.9479
_cell_angle_alpha 90.00
_cell_angle_beta 90.00
_cell_angle_gamma 120.00
loop_
_atom_site_label
_atom_site_type_symbol
_atom_site_fract_x
_atom_site_fract_y
_atom_site_fract_z
Rb1 Rb 0.0000 0.0000 0.1059
Rb2 Rb 0.0000 0.0000 0.3120
Na1 Na 0.0000 0.0000 0.4144
Sn1 Sn 0.0000 0.0000 0.0000
Sn2 Sn 0.0000 0.0000 0.5000
Br1 Br 0.0006 0.5003 0.2909
Br2 Br 0.0225 0.5112 0.1308
# * V: 2411.1 Å³ per cell
# * formation energy without anion corrections: -12.8 eV/f.u.
# * M_tot: 0.00 Bohr magnetons per cell

***

# PBE BaLiAc2, optimized geometry
data_BaLiAc2
_chemical_formula_sum 'Ba3 Li3 Ac6'
_space_group_name_H-M_alt 'R -3 m'
_space_group_IT_number 166
_space_group_name_Hall '-R 3 2"'
_cell_length_a 3.9025
_cell_length_b 3.9025
_cell_length_c 39.6244
_cell_angle_alpha 90.00
_cell_angle_beta 90.00
_cell_angle_gamma 120.00
loop_
_atom_site_label
_atom_site_type_symbol
_atom_site_fract_x
_atom_site_fract_y
_atom_site_fract_z
Ba1 Ba 0.0000 0.0000 0.0000
Li1 Li 0.0000 0.0000 0.5000
Ac1 Ac 0.0000 0.0000 0.0977
# * formation energy from the elements: 257.1 meV/atom
# * V: 522.6 Å³ per cell
# * polymorph energy (0 for the lowest one): 146 meV per atom
# * M_tot: 0.00 Bohr magnetons per cell

***

# PBE Y2HoIn, optimized geometry
data_Y2HoIn
_chemical_formula_sum 'Y2 Ho1 In1'
_space_group_name_H-M_alt 'P 1'
_space_group_IT_number 1
_space_group_name_Hall 'P 1'
_cell_length_a 3.519
_cell_length_b 5.506
_cell_length_c 6.041
_cell_angle_alpha 89.81
_cell_angle_beta 89.97
_cell_angle_gamma 89.97
loop_
_atom_site_label
_atom_site_type_symbol
_atom_site_fract_x
_atom_site_fract_y
_atom_site_fract_z
Y1 Y 0.000 0.000 0.000
Y2 Y 0.499 0.499 0.832
Ho1 Ho 0.995 0.503 0.344
In1 In 0.497 0.002 0.517
# * formation energy from the elements: -163.7 meV/atom
# * V: 117.1 Å³ per cell
# * polymorph energy (0 for the lowest one): 108 meV per atom
# * M_tot: 0.00 Bohr magnetons per cell

***

# PBE Na2TiMn, optimized geometry
data_Na2TiMn
_chemical_formula_sum 'Na8 Ti4 Mn4'
_space_group_name_H-M_alt 'F m -3 m'
_space_group_IT_number 225
_space_group_name_Hall '-F 4 2 3'
_cell_length_a 7.144
_cell_length_b 7.144
_cell_length_c 7.144
_cell_angle_alpha 90.00
_cell_angle_beta 90.00
_cell_angle_gamma 90.00
loop_
_atom_site_label
_atom_site_type_symbol
_atom_site_fract_x
_atom_site_fract_y
_atom_site_fract_z
Na1 Na 0.250 0.250 0.250
Ti1 Ti 0.000 0.000 0.000
Mn1 Mn 0.000 0.000 0.500
# * formation energy from the elements: 982.5 meV/atom
# * V: 364.6 Å³ per cell
# * polymorph energy (0 for the lowest one): 13 meV per atom
# * M_tot: 6.37 Bohr magnetons per cell

***

# PBE Sr2Tl7CdPb2, optimized geometry
data_Sr2Tl7CdPb2
_chemical_formula_sum 'Sr4 Tl14 Cd2 Pb4'
_space_group_name_H-M_alt 'C 1 2/m 1'
_space_group_IT_number 12
_space_group_name_Hall '-C 2y'
_cell_length_a 6.727
_cell_length_b 6.724
_cell_length_c 17.690
_cell_angle_alpha 90.00
_cell_angle_beta 99.85
_cell_angle_gamma 90.00
loop_
_atom_site_label
_atom_site_type_symbol
_atom_site_fract_x
_atom_site_fract_y
_atom_site_fract_z
Sr1 Sr 0.157 0.000 0.334
Tl1 Tl 0.000 0.500 0.000
Tl2 Tl 0.175 0.249 0.846
Tl3 Tl 0.230 0.500 0.469
Cd1 Cd 0.000 0.000 0.000
Pb1 Pb 0.136 0.500 0.288
# * formation energy from the elements: -127.9 meV/atom
# * V: 788.4 Å³ per cell
# * M_tot: 0.00 Bohr magnetons per cell

***

# PBE PmZn2Sn, optimized geometry
data_PmZn2Sn
_chemical_formula_sum 'Pm3 Zn6 Sn3'
_space_group_name_H-M_alt 'R -3 m'
_space_group_IT_number 166
_space_group_name_Hall '-R 3 2"'
_cell_length_a 4.4876
_cell_length_b 4.4876
_cell_length_c 15.6319
_cell_angle_alpha 90.00
_cell_angle_beta 90.00
_cell_angle_gamma 120.00
loop_
_atom_site_label
_atom_site_type_symbol
_atom_site_fract_x
_atom_site_fract_y
_atom_site_fract_z
Pm1 Pm 0.0000 0.0000 0.0000
Zn1 Zn 0.0000 0.0000 0.2307
Sn1 Sn 0.0000 0.0000 0.5000
# * formation energy from the elements: -316.0 meV/atom
# * V: 272.6 Å³ per cell
# * M_tot: 0.00 Bohr magnetons per cell

***

# PBE InHg3N, optimized geometry
data_InHg3N
_chemical_formula_sum 'In1 Hg3 N1'
_space_group_name_H-M_alt 'P m -3 m'
_space_group_IT_number 221
_space_group_name_Hall '-P 4 2 3'
_cell_length_a 5.793
_cell_length_b 5.793
_cell_length_c 5.793
_cell_angle_alpha 90.00
_cell_angle_beta 90.00
_cell_angle_gamma 90.00
loop_
_atom_site_label
_atom_site_type_symbol
_atom_site_fract_x
_atom_site_fract_y
_atom_site_fract_z
In1 In 0.000 0.000 0.000
Hg1 Hg 0.000 0.000 0.500
N1 N 0.500 0.500 0.500
# * V: 194.4 Å³ per cell
# * polymorph energy (0 for the lowest one): 765 meV per atom
# * formation energy without anion corrections: 5.4 eV/f.u.
# * M_tot: 2.59 Bohr magnetons per cell

***

# PBE LiLa2PbO, optimized geometry
data_LiLa2PbO
_chemical_formula_sum 'Li1 La2 Pb1 O1'
_space_group_name_H-M_alt 'P 4/m m m'
_space_group_IT_number 123
_space_group_name_Hall '-P 4 2'
_cell_length_a 5.047
_cell_length_b 5.047
_cell_length_c 4.616
_cell_angle_alpha 90.00
_cell_angle_beta 90.00
_cell_angle_gamma 90.00
loop_
_atom_site_label
_atom_site_type_symbol
_atom_site_fract_x
_atom_site_fract_y
_atom_site_fract_z
Li1 Li 0.000 0.000 0.000
La1 La 0.000 0.500 0.500
Pb1 Pb 0.500 0.500 0.000
O1 O 0.000 0.000 0.500
# * V: 117.6 Å³ per cell
# * formation energy without anion corrections: -7.3 eV/f.u.
# * M_tot: 0.00 Bohr magnetons per cell

***

# PBE Tc3HgSe, optimized geometry
data_Tc3HgSe
_chemical_formula_sum 'Tc3 Hg1 Se1'
_space_group_name_H-M_alt 'P m -3 m'
_space_group_IT_number 221
_space_group_name_Hall '-P 4 2 3'
_cell_length_a 4.577
_cell_length_b 4.577
_cell_length_c 4.577
_cell_angle_alpha 90.00
_cell_angle_beta 90.00
_cell_angle_gamma 90.00
loop_
_atom_site_label
_atom_site_type_symbol
_atom_site_fract_x
_atom_site_fract_y
_atom_site_fract_z
Tc1 Tc 0.000 0.000 0.500
Hg1 Hg 0.500 0.500 0.500
Se1 Se 0.000 0.000 0.000
# * V: 95.9 Å³ per cell
# * polymorph energy (0 for the lowest one): 0 meV per atom
# * formation energy without anion corrections: 5.2 eV/f.u.
# * M_tot: 2.15 Bohr magnetons per cell